Entry 1:
Compound: KSc2CuTe4
Source: Alexandria
Functional: PBE
Structure: optimized geometry

CIF file:
```
data_KSc2CuTe4
_symmetry_space_group_name_H-M 'C m c m'
_symmetry_Int_Tables_number 63
_symmetry_space_group_name_Hall '-C 2c 2'
_cell_length_a 4.229
_cell_length_b 14.603
_cell_length_c 15.055
_cell_angle_alpha 90.00
_cell_angle_beta 90.00
_cell_angle_gamma 90.00
loop_
_atom_site_label
_atom_site_fract_x
_atom_site_fract_y
_atom_site_fract_z
_atom_site_occupancy
K1 0.000 0.122 0.250 1
Sc1 0.000 0.369 0.069 1
Cu1 0.000 0.163 0.750 1
Te1 0.000 0.000 0.000 1
Te2 0.000 0.263 0.605 1
Te3 0.000 0.440 0.250 1
```

Output
E_form (uncorrected): -0.993 eV/atom
VASP energy: -4.7955 eV per atom


Entry 2:
Compound: PmDyZnPb
Source: Alexandria
Functional: PBE
Structure: optimized geometry

CIF file:
```
data_PmDyZnPb
_symmetry_space_group_name_H-M 'F -4 3 m'
_symmetry_Int_Tables_number 216
_symmetry_space_group_name_Hall 'F -4 2 3'
_cell_length_a 7.502
_cell_length_b 7.502
_cell_length_c 7.502
_cell_angle_alpha 90.00
_cell_angle_beta 90.00
_cell_angle_gamma 90.00
loop_
_atom_site_label
_atom_site_fract_x
_atom_site_fract_y
_atom_site_fract_z
_atom_site_occupancy
Pm1 0.000 0.000 0.000 1
Dy1 0.000 0.000 0.500 1
Zn1 0.250 0.250 0.750 1
Pb1 0.250 0.250 0.250 1
```

Output
VASP energy: -3.9676 eV per atom
formation enthalpy at 0 K: -384 meV per atom


Entry 3:
Compound: Li3Ce2PaSe6
Source: Alexandria
Functional: PBE
Structure: optimized geometry

CIF file:
```
data_Li3Ce2PaSe6
_symmetry_space_group_name_H-M 'C 1 2/m 1'
_symmetry_Int_Tables_number 12
_symmetry_space_group_name_Hall '-C 2y'
_cell_length_a 7.174
_cell_length_b 12.426
_cell_length_c 6.975
_cell_angle_alpha 90.00
_cell_angle_beta 110.05
_cell_angle_gamma 90.00
loop_
_atom_site_label
_atom_site_fract_x
_atom_site_fract_y
_atom_site_fract_z
_atom_site_occupancy
Li1 0.000 0.000 0.000 1
Li2 0.000 0.336 0.000 1
Ce1 0.000 0.167 0.500 1
Pa1 0.000 0.500 0.500 1
Se1 0.238 0.500 0.241 1
Se2 0.250 0.162 0.237 1
```

Output
E_form (uncorrected): -1.486 eV/atom
VASP energy: -5.4873 eV per atom


Entry 4:
Compound: PaSb2Pd
Source: Alexandria
Functional: PBE
Structure: optimized geometry

CIF file:
```
data_PaSb2Pd
_symmetry_space_group_name_H-M 'R -3 m'
_symmetry_Int_Tables_number 166
_symmetry_space_group_name_Hall '-R 3 2"'
_cell_length_a 4.4881
_cell_length_b 4.4881
_cell_length_c 17.0361
_cell_angle_alpha 90.00
_cell_angle_beta 90.00
_cell_angle_gamma 120.00
loop_
_atom_site_label
_atom_site_fract_x
_atom_site_fract_y
_atom_site_fract_z
_atom_site_occupancy
Pa1 0.0000 0.0000 0.0000 1
Sb1 0.0000 0.0000 0.2394 1
Pd1 0.0000 0.0000 0.5000 1
```

Output
E_form (uncorrected): -0.293 eV/atom
VASP energy: -6.0259 eV per atom


Entry 5:
Compound: AlTe2F
Source: Alexandria
Functional: PBE
Structure: optimized geometry

CIF file:
```
data_AlTe2F
_symmetry_space_group_name_H-M 'I -4 2 d'
_symmetry_Int_Tables_number 122
_symmetry_space_group_name_Hall 'I -4 2bw'
_cell_length_a 6.351
_cell_length_b 6.351
_cell_length_c 11.495
_cell_angle_alpha 90.00
_cell_angle_beta 90.00
_cell_angle_gamma 90.00
loop_
_atom_site_label
_atom_site_fract_x
_atom_site_fract_y
_atom_site_fract_z
_atom_site_occupancy
Al1 0.000 0.000 0.000 1
Te1 0.249 0.250 0.125 1
F1 0.000 0.000 0.500 1
```

Output
E_form (uncorrected): -0.384 eV/atom
VASP energy: -3.3579 eV per atom
ΔE to the lowest computed polymorph: 0.237 eV per atom


Entry 6:
Compound: Sc3Zn9Ga2
Source: Alexandria
Functional: PBE
Structure: optimized geometry

CIF file:
```
data_Sc3Zn9Ga2
_symmetry_space_group_name_H-M 'I m m m'
_symmetry_Int_Tables_number 71
_symmetry_space_group_name_Hall '-I 2 2'
_cell_length_a 4.160
_cell_length_b 9.394
_cell_length_c 11.995
_cell_angle_alpha 90.00
_cell_angle_beta 90.00
_cell_angle_gamma 90.00
loop_
_atom_site_label
_atom_site_fract_x
_atom_site_fract_y
_atom_site_fract_z
_atom_site_occupancy
Sc1 0.000 0.000 0.000 1
Sc2 0.000 0.000 0.296 1
Zn1 0.000 0.279 0.145 1
Zn2 0.000 0.371 0.346 1
Zn3 0.000 0.500 0.000 1
Ga1 0.000 0.184 0.500 1
```

Output
VASP energy: -2.9042 eV per atom
formation enthalpy at 0 K: -296 meV per atom